NaAlH2CO5 | SCAN | single point on PBEsol structure

```
NaAlH2CO5
1.0
-0.461 -4.117 -3.753
3.282 -5.660 1.643
-3.426 -5.390 2.170
Na Al H C O
2 2 4 2 10
direct
0.000 0.000 0.000
0.000 0.500 0.500
0.000 0.000 0.500
0.500 0.000 0.500
0.719 0.726 0.836
0.281 0.664 0.774
0.281 0.274 0.164
0.719 0.336 0.226
0.498 0.252 0.752
0.502 0.748 0.248
0.374 0.376 0.876
0.626 0.624 0.124
0.764 0.188 0.688
0.236 0.812 0.312
0.641 0.812 0.312
0.359 0.188 0.688
0.775 0.792 0.658
0.225 0.842 0.708
0.225 0.208 0.342
0.775 0.158 0.292
```

Values from the calculation:
magnetic moment	0.00	Bohr magnetons per cell
electronic total energy	-0.294	Ha/atom